Record 1
The following is a SCAN calculation of AgSb at its PBEsol-relaxed geometry, from Alexandria.

Unit cell a=4.375 b=4.375 c=5.518 alpha=90.00 beta=90.00 gamma=120.00
Sites, in units of the cell vectors:
Ag1 0.000 0.000 0.000
Ag2 0.000 0.000 0.500
Sb1 0.333 0.667 0.250
Sb2 0.667 0.333 0.750

Output
- energy relative to the lowest polymorph listed for this composition (meV per atom) = 2

Record 2
The following is a SCAN calculation of LiLa2TiO6 at its PBEsol-relaxed geometry, from Alexandria.

Unit cell a=5.480 b=5.670 c=9.438 alpha=90.00 beta=124.94 gamma=90.00
Sites, in units of the cell vectors:
Li1 0.000 0.000 0.000
Li2 0.000 0.500 0.500
La1 0.237 0.055 0.748
La2 0.237 0.445 0.248
La3 0.763 0.555 0.752
La4 0.763 0.945 0.252
Ti1 0.500 0.000 0.500
Ti2 0.500 0.500 0.000
O1 0.170 0.193 0.458
O2 0.170 0.307 0.958
O3 0.263 0.715 0.455
O4 0.263 0.785 0.955
O5 0.340 0.024 0.257
O6 0.340 0.476 0.757
O7 0.660 0.524 0.243
O8 0.660 0.976 0.743
O9 0.737 0.215 0.045
O10 0.737 0.285 0.545
O11 0.830 0.693 0.042
O12 0.830 0.807 0.542

Output
- total DFT energy (no corrections) (eV per atom) = -17.42

Record 3
The following is a SCAN calculation of SiTc2Pb at its PBEsol-relaxed geometry, from Alexandria.

Unit cell a=4.368 b=4.368 c=5.396 alpha=103.66 beta=103.66 gamma=41.07
Sites, in units of the cell vectors:
Si1 0.000 0.000 0.000
Tc1 0.271 0.271 0.806
Tc2 0.729 0.729 0.194
Pb1 0.500 0.500 0.500

Output
- energy relative to the lowest polymorph listed for this composition (meV per atom) = 0